First-principles (PBE-GGA) data for a relaxed SmSi2Pt3 crystal, as listed in Alexandria via LeMat-Bulk.

Output
The calculation puts the uncorrected formation energy at -0.98 eV/atom. The size of the total moment is 0.00 μB per cell. The value obtained for the total energy is -0.4850 Ry per atom. The calculation puts the volume at 424.9 Å³ per cell.

Structure (CIF):
```
data_SmSi2Pt3
_chemical_formula_sum 'Sm4 Si8 Pt12'
_cell_length_a 15.037
_cell_length_b 4.104
_cell_length_c 7.547
_cell_angle_alpha 90.00
_cell_angle_beta 114.17
_cell_angle_gamma 90.00
_symmetry_space_group_name_H-M 'C 1 2/m 1'
_symmetry_Int_Tables_number 12
loop_
_symmetry_equiv_pos_as_xyz
'x,y,z'
'-x,-y,-z'
'-x,y,-z'
'x,-y,z'
'x+1/2,y+1/2,z'
'-x+1/2,-y+1/2,-z'
'-x+1/2,y+1/2,-z'
'x+1/2,-y+1/2,z'
loop_
_atom_site_label
_atom_site_type_symbol
_atom_site_fract_x
_atom_site_fract_y
_atom_site_fract_z
Sm1 Sm 0.156 0.000 0.081
Si1 Si 0.014 0.500 0.165
Si2 Si 0.179 0.000 0.651
Pt1 Pt 0.031 0.000 0.342
Pt2 Pt 0.119 0.500 0.734
Pt3 Pt 0.179 0.500 0.418
```

First-principles (PBE-GGA) data for a relaxed Sm3Co3Os crystal, as listed in Alexandria via LeMat-Bulk.

Output
The size of the total moment is 0.00 μB per cell. The formation energy is -0.06 eV/atom. The value obtained for the total energy is -0.4948 Ry per atom. The calculation puts the volume at 562.0 Å³ per cell.

Structure (CIF):
```
data_Sm3Co3Os
_chemical_formula_sum 'Sm12 Co12 Os4'
_cell_length_a 11.258
_cell_length_b 4.062
_cell_length_c 13.444
_cell_angle_alpha 90.00
_cell_angle_beta 113.92
_cell_angle_gamma 90.00
_symmetry_space_group_name_H-M 'C 1 2/m 1'
_symmetry_Int_Tables_number 12
loop_
_symmetry_equiv_pos_as_xyz
'x,y,z'
'-x,-y,-z'
'-x,y,-z'
'x,-y,z'
'x+1/2,y+1/2,z'
'-x+1/2,-y+1/2,-z'
'-x+1/2,y+1/2,-z'
'x+1/2,-y+1/2,z'
loop_
_atom_site_label
_atom_site_type_symbol
_atom_site_fract_x
_atom_site_fract_y
_atom_site_fract_z
Sm1 Sm 0.011 0.000 0.369
Sm2 Sm 0.101 0.000 0.925
Sm3 Sm 0.244 0.000 0.232
Co1 Co 0.086 0.500 0.247
Co2 Co 0.095 0.500 0.077
Co3 Co 0.118 0.500 0.542
Os1 Os 0.248 0.000 0.569
```

First-principles (PBE-GGA) data for a relaxed DyPuAlAu crystal, as listed in Alexandria via LeMat-Bulk.

Output
The size of the total moment is 22.99 μB per cell. The formation energy is -0.35 eV/atom. The value obtained for the total energy is -0.5024 Ry per atom. The calculation puts the volume at 384.3 Å³ per cell.

Structure (CIF):
```
data_DyPuAlAu
_chemical_formula_sum 'Dy4 Pu4 Al4 Au4'
_cell_length_a 7.270
_cell_length_b 7.270
_cell_length_c 7.270
_cell_angle_alpha 90.00
_cell_angle_beta 90.00
_cell_angle_gamma 90.00
_symmetry_space_group_name_H-M 'F -4 3 m'
_symmetry_Int_Tables_number 216
_symmetry_space_group_name_Hall 'F -4 2 3'
loop_
_atom_site_label
_atom_site_type_symbol
_atom_site_fract_x
_atom_site_fract_y
_atom_site_fract_z
Dy1 Dy 0.000 0.000 0.000
Pu1 Pu 0.000 0.000 0.500
Al1 Al 0.250 0.250 0.250
Au1 Au 0.250 0.250 0.750
```

First-principles (PBE-GGA) data for a relaxed BeRe2Sb crystal, as listed in Alexandria via LeMat-Bulk.

Output
The calculation puts the uncorrected formation energy at 0.50 eV/atom. The size of the total moment is 0.00 μB per cell. The value obtained for the total energy is -0.5651 Ry per atom. The calculation puts the distance to the lowest polymorph of the same formula at 322.2 meV per atom. The calculation puts the volume at 181.5 Å³ per cell.

Structure (CIF):
```
data_BeRe2Sb
_chemical_formula_sum 'Be3 Re6 Sb3'
_cell_length_a 3.2074
_cell_length_b 3.2074
_cell_length_c 20.3773
_cell_angle_alpha 90.00
_cell_angle_beta 90.00
_cell_angle_gamma 120.00
_symmetry_space_group_name_H-M 'R -3 m'
_symmetry_Int_Tables_number 166
_symmetry_space_group_name_Hall '-R 3 2"'
loop_
_atom_site_label
_atom_site_type_symbol
_atom_site_fract_x
_atom_site_fract_y
_atom_site_fract_z
Be1 Be 0.0000 0.0000 0.0000
Re1 Re 0.0000 0.0000 0.2736
Sb1 Sb 0.0000 0.0000 0.5000
```

First-principles (PBE-GGA) data for a relaxed SrTlS2Cl crystal, as listed in Alexandria via LeMat-Bulk.

Output
The calculation puts the uncorrected formation energy at -0.79 eV/atom. The size of the total moment is 0.00 μB per cell. The value obtained for the total energy is -0.2660 Ry per atom. The calculation puts the distance to the lowest polymorph of the same formula at 0.0 meV per atom. The calculation puts the volume at 142.3 Å³ per cell.

Structure (CIF):
```
data_SrTlS2Cl
_chemical_formula_sum 'Sr1 Tl1 S2 Cl1'
_cell_length_a 5.166
_cell_length_b 5.166
_cell_length_c 5.331
_cell_angle_alpha 90.00
_cell_angle_beta 90.00
_cell_angle_gamma 90.00
_symmetry_space_group_name_H-M 'P 4/m m m'
_symmetry_Int_Tables_number 123
_symmetry_space_group_name_Hall '-P 4 2'
loop_
_atom_site_label
_atom_site_type_symbol
_atom_site_fract_x
_atom_site_fract_y
_atom_site_fract_z
Sr1 Sr 0.000 0.000 0.000
Tl1 Tl 0.500 0.500 0.500
S1 S 0.000 0.500 0.500
Cl1 Cl 0.500 0.500 0.000
```

First-principles (PBE-GGA) data for a relaxed BaLaY2 crystal, as listed in Alexandria via LeMat-Bulk.

Output
The size of the total moment is 0.00 μB per cell. The formation energy is 0.13 eV/atom. The value obtained for the total energy is -0.3536 Ry per atom. The calculation puts the distance to the lowest polymorph of the same formula at 0.0 meV per atom. The calculation puts the volume at 310.8 Å³ per cell.

Structure (CIF):
```
data_BaLaY2
_chemical_formula_sum 'Ba2 La2 Y4'
_cell_length_a 5.320
_cell_length_b 5.332
_cell_length_c 10.958
_cell_angle_alpha 90.00
_cell_angle_beta 90.00
_cell_angle_gamma 90.00
_symmetry_space_group_name_H-M 'C m m 2'
_symmetry_Int_Tables_number 35
loop_
_symmetry_equiv_pos_as_xyz
'x,y,z'
'-x,-y,z'
'-x,y,z'
'x,-y,z'
'x+1/2,y+1/2,z'
'-x+1/2,-y+1/2,z'
'-x+1/2,y+1/2,z'
'x+1/2,-y+1/2,z'
loop_
_atom_site_label
_atom_site_type_symbol
_atom_site_fract_x
_atom_site_fract_y
_atom_site_fract_z
Ba1 Ba 0.000 0.000 0.000
La1 La 0.000 0.500 0.286
Y1 Y 0.000 0.000 0.510
Y2 Y 0.000 0.500 0.723
```

First-principles (PBE-GGA) data for a relaxed BaCaGaPb crystal, as listed in Alexandria via LeMat-Bulk.

Output
The size of the total moment is 0.00 μB per cell. The formation energy is -0.40 eV/atom. The value obtained for the total energy is -0.2251 Ry per atom. The calculation puts the volume at 527.6 Å³ per cell.

Structure (CIF):
```
data_BaCaGaPb
_chemical_formula_sum 'Ba4 Ca4 Ga4 Pb4'
_cell_length_a 8.080
_cell_length_b 8.080
_cell_length_c 8.080
_cell_angle_alpha 90.00
_cell_angle_beta 90.00
_cell_angle_gamma 90.00
_symmetry_space_group_name_H-M 'F -4 3 m'
_symmetry_Int_Tables_number 216
_symmetry_space_group_name_Hall 'F -4 2 3'
loop_
_atom_site_label
_atom_site_type_symbol
_atom_site_fract_x
_atom_site_fract_y
_atom_site_fract_z
Ba1 Ba 0.000 0.000 0.000
Ca1 Ca 0.000 0.000 0.500
Ga1 Ga 0.250 0.250 0.250
Pb1 Pb 0.250 0.250 0.750
```

First-principles (PBE-GGA) data for a relaxed Ga2HgI crystal, as listed in Alexandria via LeMat-Bulk.

Output
The calculation puts the uncorrected formation energy at 0.09 eV/atom. The size of the total moment is 0.00 μB per cell. The value obtained for the total energy is -0.1383 Ry per atom. The calculation puts the distance to the lowest polymorph of the same formula at 127.9 meV per atom. The calculation puts the volume at 451.9 Å³ per cell.

Structure (CIF):
```
data_Ga2HgI
_chemical_formula_sum 'Ga8 Hg4 I4'
_cell_length_a 7.674
_cell_length_b 7.674
_cell_length_c 7.674
_cell_angle_alpha 90.00
_cell_angle_beta 90.00
_cell_angle_gamma 90.00
_symmetry_space_group_name_H-M 'F m -3 m'
_symmetry_Int_Tables_number 225
_symmetry_space_group_name_Hall '-F 4 2 3'
loop_
_atom_site_label
_atom_site_type_symbol
_atom_site_fract_x
_atom_site_fract_y
_atom_site_fract_z
Ga1 Ga 0.250 0.250 0.250
Hg1 Hg 0.000 0.000 0.000
I1 I 0.000 0.000 0.500
```

First-principles (PBE-GGA) data for a relaxed CdBi2Te crystal, as listed in Alexandria via LeMat-Bulk.

Output
The calculation puts the uncorrected formation energy at 0.16 eV/atom. The size of the total moment is 0.00 μB per cell. The value obtained for the total energy is -0.2056 Ry per atom. The calculation puts the distance to the lowest polymorph of the same formula at 0.0 meV per atom. The calculation puts the volume at 470.5 Å³ per cell.

Structure (CIF):
```
data_CdBi2Te
_chemical_formula_sum 'Cd4 Bi8 Te4'
_cell_length_a 7.778
_cell_length_b 7.778
_cell_length_c 7.778
_cell_angle_alpha 90.00
_cell_angle_beta 90.00
_cell_angle_gamma 90.00
_symmetry_space_group_name_H-M 'F m -3 m'
_symmetry_Int_Tables_number 225
_symmetry_space_group_name_Hall '-F 4 2 3'
loop_
_atom_site_label
_atom_site_type_symbol
_atom_site_fract_x
_atom_site_fract_y
_atom_site_fract_z
Cd1 Cd 0.000 0.000 0.000
Bi1 Bi 0.250 0.250 0.250
Te1 Te 0.000 0.000 0.500
```

First-principles (PBE-GGA) data for a relaxed Os2RhPb crystal, as listed in Alexandria via LeMat-Bulk.

Output
The size of the total moment is 0.00 μB per cell. The formation energy is 1.08 eV/atom. The value obtained for the total energy is -0.5364 Ry per atom. The calculation puts the volume at 140.6 Å³ per cell.

Structure (CIF):
```
data_Os2RhPb
_chemical_formula_sum 'Os4 Rh2 Pb2'
_cell_length_a 2.847
_cell_length_b 4.900
_cell_length_c 10.077
_cell_angle_alpha 90.00
_cell_angle_beta 90.00
_cell_angle_gamma 90.00
_symmetry_space_group_name_H-M 'C m m m'
_symmetry_Int_Tables_number 65
_symmetry_space_group_name_Hall '-C 2 2'
loop_
_atom_site_label
_atom_site_type_symbol
_atom_site_fract_x
_atom_site_fract_y
_atom_site_fract_z
Os1 Os 0.000 0.000 0.221
Rh1 Rh 0.000 0.500 0.000
Pb1 Pb 0.000 0.500 0.500
```